Entry from Alexandria: a relaxed CaVPtO6 crystal (GGA+U).

abc: 5.173 5.173 5.012
angles: 90.00 90.00 60.00
Each line ends with the local moment (μB).
Sites, in units of the cell vectors:
Ca 0.000 0.000 0.000  0.00
O 0.986 0.638 0.711  0.10
O 0.638 0.376 0.711  0.10
O 0.376 0.638 0.289  0.10
Pt 0.333 0.333 0.500  0.31
V 0.667 0.667 0.500  -0.09
O 0.638 0.986 0.289  0.10
O 0.986 0.376 0.289  0.10
O 0.376 0.986 0.711  0.10

Summary:
Total magnetic moment, μB/f.u.: 0.9
DFT total energy, eV per cell: -59.3